(1)
# PBE Tl4InCl6, relaxed
# Energy relative to the elements, uncorrected in eV per atom: -0.95
# Crystal system: tetragonal
# Final energy in eV per atom: -3.065
data_Tl4InCl6
_cell_length_a 8.6800
_cell_length_b 8.6800
_cell_length_c 9.1754
_cell_angle_alpha 90.00
_cell_angle_beta 90.00
_cell_angle_gamma 90.00
_symmetry_space_group_name_H-M 'P 1'
_symmetry_Int_Tables_number 1
_symmetry_space_group_name_Hall 'P 1'
loop_
_atom_site_label
_atom_site_type_symbol
_atom_site_fract_x
_atom_site_fract_y
_atom_site_fract_z
_atom_site_occupancy
Tl1 Tl 0.1617 0.6617 0.7500 1
Cl1 Cl 0.3027 0.8745 0.5000 1
Cl2 Cl 0.8027 0.6255 0.0000 1
Tl2 Tl 0.8383 0.3383 0.7500 1
Cl3 Cl 0.6255 0.1973 0.0000 1
Tl3 Tl 0.8383 0.3383 0.2500 1
Cl4 Cl 0.5000 0.5000 0.2958 1
In1 In 0.0000 0.0000 0.5000 1
Cl5 Cl 0.6973 0.1255 0.5000 1
Cl6 Cl 0.5000 0.5000 0.7042 1
Cl7 Cl 0.3745 0.8027 0.0000 1
Cl8 Cl 0.1973 0.3745 0.0000 1
Cl9 Cl 0.0000 0.0000 0.7958 1
Tl4 Tl 0.6617 0.8383 0.7500 1
Cl10 Cl 0.8745 0.6973 0.5000 1
Tl5 Tl 0.1617 0.6617 0.2500 1
Tl6 Tl 0.3383 0.1617 0.2500 1
Cl11 Cl 0.0000 0.0000 0.2042 1
Tl7 Tl 0.6617 0.8383 0.2500 1
In2 In 0.5000 0.5000 0.0000 1
Cl12 Cl 0.1255 0.3027 0.5000 1
Tl8 Tl 0.3383 0.1617 0.7500 1

---

(2)
# PBE Tl2InCl, relaxed
# Energy relative to the elements, uncorrected in eV per atom: -0.28
# Crystal system: orthorhombic
# Relative energy among the computed polymorphs in meV per atom: 71
# Final energy in eV per atom: -2.612
data_Tl2InCl
_cell_length_a 6.4798
_cell_length_b 6.4798
_cell_length_c 6.4798
_cell_angle_alpha 142.56
_cell_angle_beta 132.79
_cell_angle_gamma 61.75
_symmetry_space_group_name_H-M 'P 1'
_symmetry_Int_Tables_number 1
_symmetry_space_group_name_Hall 'P 1'
loop_
_atom_site_label
_atom_site_type_symbol
_atom_site_fract_x
_atom_site_fract_y
_atom_site_fract_z
_atom_site_occupancy
Tl1 Tl 0.9802 0.9802 0.0000 1
Cl1 Cl 0.7500 0.2500 0.5000 1
Tl2 Tl 0.5198 0.5198 0.0000 1
In1 In 0.2500 0.7500 0.5000 1

---

(3)
# PBE TlIn2Cl, relaxed
# Energy relative to the elements, uncorrected in eV per atom: -0.17
# Crystal system: cubic
# Relative energy among the computed polymorphs in meV per atom: 181
# Final energy in eV per atom: -2.594
data_TlIn2Cl
_cell_length_a 5.4115
_cell_length_b 5.4115
_cell_length_c 5.4115
_cell_angle_alpha 60.00
_cell_angle_beta 60.00
_cell_angle_gamma 60.00
_symmetry_space_group_name_H-M 'P 1'
_symmetry_Int_Tables_number 1
_symmetry_space_group_name_Hall 'P 1'
loop_
_atom_site_label
_atom_site_type_symbol
_atom_site_fract_x
_atom_site_fract_y
_atom_site_fract_z
_atom_site_occupancy
Cl1 Cl 0.0000 0.0000 0.0000 1
Tl1 Tl 0.5000 0.5000 0.5000 1
In1 In 0.7500 0.7500 0.7500 1
In2 In 0.2500 0.2500 0.2500 1

---

(4)
# PBE TlInCl2, relaxed
# Energy relative to the elements, uncorrected in eV per atom: -0.91
# Crystal system: monoclinic
# Relative energy among the computed polymorphs in meV per atom: 2
# Final energy in eV per atom: -3.106
data_TlInCl2
_cell_length_a 6.4761
_cell_length_b 6.4761
_cell_length_c 8.0581
_cell_angle_alpha 62.55
_cell_angle_beta 62.55
_cell_angle_gamma 82.36
_symmetry_space_group_name_H-M 'P 1'
_symmetry_Int_Tables_number 1
_symmetry_space_group_name_Hall 'P 1'
loop_
_atom_site_label
_atom_site_type_symbol
_atom_site_fract_x
_atom_site_fract_y
_atom_site_fract_z
_atom_site_occupancy
Cl1 Cl 0.9500 0.1359 0.2504 1
Cl2 Cl 0.0500 0.8641 0.7496 1
In1 In 0.6012 0.8988 0.7500 1
In2 In 0.3988 0.1012 0.2500 1
Tl1 Tl 0.1350 0.3650 0.7500 1
Tl2 Tl 0.8650 0.6350 0.2500 1
Cl3 Cl 0.3641 0.5500 0.2496 1
Cl4 Cl 0.6359 0.4500 0.7504 1

---

(5)
# PBE TlIn2Cl7, relaxed
# Energy relative to the elements, uncorrected in eV per atom: -0.98
# Crystal system: orthorhombic
# Final energy in eV per atom: -3.058
data_TlIn2Cl7
_cell_length_a 4.1724
_cell_length_b 10.3120
_cell_length_c 10.3121
_cell_angle_alpha 133.58
_cell_angle_beta 90.00
_cell_angle_gamma 90.00
_symmetry_space_group_name_H-M 'P 1'
_symmetry_Int_Tables_number 1
_symmetry_space_group_name_Hall 'P 1'
loop_
_atom_site_label
_atom_site_type_symbol
_atom_site_fract_x
_atom_site_fract_y
_atom_site_fract_z
_atom_site_occupancy
In1 In 0.5000 0.3639 0.6361 1
Cl1 Cl 0.5000 0.9206 0.6726 1
In2 In 0.5000 0.6361 0.3639 1
Cl2 Cl 0.5000 0.6726 0.9206 1
Cl3 Cl 0.5000 0.3274 0.0794 1
Cl4 Cl 0.0000 0.7130 0.2869 1
Cl5 Cl 0.5000 0.0794 0.3274 1
Cl6 Cl 0.0000 0.2870 0.7131 1
Cl7 Cl 0.5000 0.5000 0.5000 1
Tl1 Tl 0.0000 0.0000 0.0000 1

---

(6)
# PBE Tl3InCl, relaxed
# Energy relative to the elements, uncorrected in eV per atom: 0.00
# Crystal system: cubic
# Relative energy among the computed polymorphs in meV per atom: 11
# Final energy in eV per atom: -2.334
data_Tl3InCl
_cell_length_a 5.8801
_cell_length_b 5.8801
_cell_length_c 5.8801
_cell_angle_alpha 90.00
_cell_angle_beta 90.00
_cell_angle_gamma 90.00
_symmetry_space_group_name_H-M 'P 1'
_symmetry_Int_Tables_number 1
_symmetry_space_group_name_Hall 'P 1'
loop_
_atom_site_label
_atom_site_type_symbol
_atom_site_fract_x
_atom_site_fract_y
_atom_site_fract_z
_atom_site_occupancy
Tl1 Tl 0.0000 0.5000 0.0000 1
Tl2 Tl 0.5000 0.0000 0.0000 1
In1 In 0.0000 0.0000 0.0000 1
Cl1 Cl 0.5000 0.5000 0.5000 1
Tl3 Tl 0.0000 0.0000 0.5000 1

---

(7)
# PBE Tl3In2Cl8, relaxed
# Energy relative to the elements, uncorrected in eV per atom: -0.97
# Crystal system: trigonal
# Final energy in eV per atom: -3.071
data_Tl3In2Cl8
_cell_length_a 7.6517
_cell_length_b 7.6517
_cell_length_c 9.9031
_cell_angle_alpha 67.27
_cell_angle_beta 67.27
_cell_angle_gamma 60.00
_symmetry_space_group_name_H-M 'P 1'
_symmetry_Int_Tables_number 1
_symmetry_space_group_name_Hall 'P 1'
loop_
_atom_site_label
_atom_site_type_symbol
_atom_site_fract_x
_atom_site_fract_y
_atom_site_fract_z
_atom_site_occupancy
In1 In 0.5959 0.5959 0.2123 1
Cl1 Cl 0.6887 0.6887 0.9338 1
Cl2 Cl 0.7892 0.2580 0.6948 1
Cl3 Cl 0.2580 0.2580 0.6948 1
Tl1 Tl 0.0000 0.0000 0.0000 1
In2 In 0.4041 0.4041 0.7877 1
Cl4 Cl 0.3113 0.3113 0.0662 1
Cl5 Cl 0.7420 0.7420 0.3052 1
Cl6 Cl 0.7420 0.2108 0.3052 1
Cl7 Cl 0.2580 0.7892 0.6948 1
Tl2 Tl 0.1960 0.1960 0.4120 1
Cl8 Cl 0.2108 0.7420 0.3052 1
Tl3 Tl 0.8040 0.8040 0.5880 1

---

(8)
# PBE TlInCl2, relaxed
# Energy relative to the elements, uncorrected in eV per atom: -0.74
# Crystal system: trigonal
# Relative energy among the computed polymorphs in meV per atom: 170
# Final energy in eV per atom: -2.939
data_TlInCl2
_cell_length_a 9.6311
_cell_length_b 9.6311
_cell_length_c 9.6311
_cell_angle_alpha 27.36
_cell_angle_beta 27.36
_cell_angle_gamma 27.36
_symmetry_space_group_name_H-M 'P 1'
_symmetry_Int_Tables_number 1
_symmetry_space_group_name_Hall 'P 1'
loop_
_atom_site_label
_atom_site_type_symbol
_atom_site_fract_x
_atom_site_fract_y
_atom_site_fract_z
_atom_site_occupancy
Tl1 Tl 0.5000 0.5000 0.5000 1
In1 In 0.0000 0.0000 0.0000 1
Cl1 Cl 0.9003 0.9003 0.9003 1
Cl2 Cl 0.0997 0.0997 0.0997 1

---

> Which formula does entry 8 have?

TlInCl2

---

> final energy of number 2 (Tl2InCl)?

-2.612 eV per atom